Compound: Mn2V4O9
Source: the Alexandria database
Functional: GGA+U
Structure: optimized geometry

```
Mn2V4O9
1.0
4.4739 -2.5900 0.0000
4.4739 2.5900 0.0000
-0.1317 0.0000 14.1966
Mn V O
4 8 18
direct
0.0007 0.0046 0.3535
0.0046 0.0007 0.8535
0.9954 0.9993 0.1465
0.9993 0.9954 0.6465
0.3271 0.3392 0.0166
0.3324 0.3397 0.3121
0.3392 0.3271 0.5165
0.3397 0.3324 0.8121
0.6603 0.6676 0.1879
0.6608 0.6729 0.4834
0.6676 0.6603 0.6879
0.6729 0.6608 0.9834
0.0037 0.6774 0.2519
0.0297 0.6157 0.9205
0.0373 0.3568 0.4216
0.3162 0.6838 0.7500
0.3226 0.9963 0.2481
0.3568 0.0373 0.9216
0.3641 0.6307 0.4213
0.3693 0.6359 0.0787
0.3843 0.9703 0.5795
0.6157 0.0297 0.4205
0.6307 0.3641 0.9213
0.6359 0.3693 0.5787
0.6432 0.9627 0.0784
0.6774 0.0037 0.7519
0.6838 0.3162 0.2500
0.9627 0.6432 0.5784
0.9703 0.3843 0.0795
0.9963 0.3226 0.7481
```

DFT total energy ... -7.8741 eV per atom
Magnetization ... 16.00 μB/f.u.
SG ... No. 15